This record from Alexandria via LeMat-Bulk describes TaMnOF2 after structural relaxation. The functional is GGA+U.

abc: 4.3674 4.3674 3.9611
angles: 90.00 90.00 90.00
Space group P4/mmm (No. 123)
One atom of each set of equivalent atoms:
Ta  0.0000  0.0000  0.0000 (multiplicity 1)
Mn  0.5000  0.5000  0.5000 (multiplicity 1)
O  0.0000  0.0000  0.5000 (multiplicity 1)
F  0.0000  0.5000  0.0000 (multiplicity 2)

Fermi-level density of states: 2.42 states/eV/cell
Total magnetic moment: 1.3894 μB per atom
V: 15.1 Å³/atom
Electronic total energy: -7.128 eV per atom
Theoretical density: 6.371 g cm⁻³